# Ca2CuPd

A relaxed structure of Ca2CuPd (PBE, the Alexandria database).

The structure in extended XYZ format:
```
4
Lattice="1.823 1.053 9.237 -1.823 1.053 9.237 0.000 -2.105 9.237" Properties=species:S:1:pos:R:3 pbc="T T T"
Ca 0.000 0.000 2.632
Ca 0.000 0.000 25.079
Cu 0.000 0.000 13.856
Pd 0.000 0.000 0.000
```

Values from the calculation:
Space-group type: R-3m


# Zr2In4Hg

A relaxed structure of Zr2In4Hg (PBE, the Alexandria database).

The structure in extended XYZ format:
```
7
Lattice="-3.736 3.736 3.212 3.736 -3.736 3.212 3.736 3.736 -3.212" Properties=species:S:1:pos:R:3 pbc="T T T"
Zr 3.736 0.000 0.000
Zr 0.000 3.736 0.000
In 1.868 1.868 -1.606
In 1.868 -1.868 1.606
In -1.868 1.868 1.606
In 1.868 1.868 1.606
Hg 0.000 0.000 0.000
```

Values from the calculation:
Space-group type: I4/mmm


no.,formation enthalpy at 0 K (kcal/mol of atoms)
1,5.0
2,-1.7